Computed, not measured: AgAu8 after structural relaxation at the PBE level of DFT.

a = 8.8908 Å, b = 8.8908 Å, c = 4.0948 Å
α = 90.00°, β = 90.00°, γ = 90.00°
With the nearest neighbours (Å) after each atom.
Space group I4/mmm (No. 139)
Unique sites:
1 Ag 0.0000 0.0000 0.0000 (multiplicity 2)  12 Au 2.92-2.96
2 Au 0.0000 0.3328 0.0000 (multiplicity 8)  11 Au 2.93-2.97, 1 Ag 2.96
3 Au 0.1660 0.1660 0.5000 (multiplicity 8)  2 Ag 2.92, 10 Au 2.93-2.97

Values from the calculation:
Total moment ... 0.00 μB/f.u.
ΔE_f ... -9 meV/atom